# 1
GGA-PBE UVMo, optimized geometry; ρ = 12.72 g/cm3; E = -10.272 eV per atom; formation enthalpy at 0 K = 0.14 eV per atom
1.0
4.445 0.042 -0.028
2.173 4.862 0.284
0.002 2.838 4.845
U V Mo
2 2 2
direct
0.352 0.796 0.777
0.648 0.204 0.223
0.999 0.503 0.749
0.001 0.497 0.251
0.675 0.149 0.741
0.325 0.851 0.259



# 2
GGA-PBE U2VMo, optimized geometry; ρ = 13.73 g/cm3; E = -10.190 eV per atom; formation enthalpy at 0 K = 0.44 eV per atom
1.0
-0.839 3.365 -3.461
-1.220 -1.401 -4.534
-4.190 0.727 -1.745
Mo U V
1 2 1
direct
0.000 0.000 0.000
0.276 0.276 0.173
0.724 0.724 0.827
0.500 0.500 0.500



# 3
GGA-PBE UVMo2, optimized geometry; ρ = 11.92 g/cm3; E = -10.327 eV per atom; formation enthalpy at 0 K = 0.19 eV per atom
1.0
-0.128 1.910 2.645
-1.882 -2.205 1.501
5.128 -2.822 2.285
Mo U V
2 1 1
direct
0.000 0.000 0.759
0.000 0.000 0.241
0.500 0.500 0.500
0.500 0.500 0.000



# 4
GGA-PBE UVMo, optimized geometry; ρ = 12.60 g/cm3; E = -10.102 eV per atom; formation enthalpy at 0 K = 0.31 eV per atom
1.0
-2.291 1.910 1.468
-2.321 -2.294 -0.638
3.199 -1.830 3.607
Mo U V
1 1 1
direct
0.291 0.291 0.582
0.951 0.951 0.902
0.608 0.608 0.216



# 5
GGA-PBE UVMo2, optimized geometry; ρ = 11.83 g/cm3; E = -10.360 eV per atom; formation enthalpy at 0 K = 0.16 eV per atom
1.0
3.199 0.000 0.000
0.000 4.594 0.000
0.000 0.000 4.594
Mo U V
2 1 1
direct
0.000 0.000 0.500
0.000 0.500 0.000
0.500 0.000 0.000
0.500 0.500 0.500



# 6
GGA-PBE U2VMo, optimized geometry; ρ = 13.59 g/cm3; E = -10.138 eV per atom; formation enthalpy at 0 K = 0.49 eV per atom
1.0
3.337 0.000 0.000
0.000 4.776 0.000
0.000 0.000 4.776
Mo U V
1 2 1
direct
0.500 0.000 0.000
0.000 0.000 0.500
0.000 0.500 0.000
0.500 0.500 0.500



# 7
GGA-PBE U2VMo, optimized geometry; ρ = 13.61 g/cm3; E = -10.186 eV per atom; formation enthalpy at 0 K = 0.45 eV per atom
1.0
-1.594 0.584 3.199
1.687 -2.897 1.369
4.449 3.349 1.606
Mo U V
1 2 1
direct
0.500 0.500 0.500
0.000 0.000 0.784
0.000 0.000 0.216
0.500 0.500 0.000



# 8
GGA-PBE UVMo2, optimized geometry; ρ = 12.01 g/cm3; E = -10.400 eV per atom; formation enthalpy at 0 K = 0.12 eV per atom
1.0
4.548 0.000 0.000
2.274 3.938 0.000
2.274 1.313 3.713
Mo U V
2 1 1
direct
0.250 0.250 0.250
0.750 0.750 0.750
0.500 0.500 0.500
0.000 0.000 0.000



# 9
GGA-PBE UVMo, optimized geometry; ρ = 12.19 g/cm3; E = -10.022 eV per atom; formation enthalpy at 0 K = 0.39 eV per atom
1.0
2.989 0.000 0.000
-1.495 2.589 0.000
0.000 0.000 6.774
Mo U V
1 1 1
direct
0.000 0.000 0.033
0.333 0.667 0.665
0.667 0.333 0.302



# 10
GGA-PBE UVMoW, optimized geometry; ρ = 14.12 g/cm3; E = -10.854 eV per atom; formation enthalpy at 0 K = 0.19 eV per atom
1.0
4.557 0.000 0.000
2.278 3.946 0.000
2.278 1.315 3.721
Mo U W V
1 1 1 1
direct
0.750 0.750 0.750
0.500 0.500 0.500
0.000 0.000 0.000
0.250 0.250 0.250



# 11
GGA-PBE UMoW, optimized geometry; ρ = 15.40 g/cm3; E = -11.160 eV per atom; formation enthalpy at 0 K = 0.53 eV per atom
1.0
3.693 0.000 0.000
0.000 3.693 0.000
-1.846 -1.846 4.094
Mo U W
1 1 1
direct
0.970 0.970 0.940
0.279 0.279 0.557
0.602 0.602 0.203



# 12
GGA-PBE UMoW, optimized geometry; ρ = 16.38 g/cm3; E = -11.358 eV per atom; formation enthalpy at 0 K = 0.33 eV per atom
1.0
2.859 0.000 0.000
0.000 4.604 0.000
0.000 -2.302 3.987
Mo U W
1 1 1
direct
0.618 0.667 0.333
0.342 0.333 0.667
0.040 0.000 0.000



# 13
GGA-PBE YUMo, optimized geometry; ρ = 8.64 g/cm3; E = -9.006 eV per atom; formation enthalpy at 0 K = 0.52 eV per atom
1.0
7.088 0.000 0.000
0.000 7.088 0.000
0.000 0.000 6.469
U Mo Y
4 4 4
direct
0.292 0.292 0.000
0.708 0.708 0.500
0.208 0.792 0.250
0.792 0.208 0.750
0.557 0.443 0.750
0.943 0.943 0.500
0.057 0.057 0.000
0.443 0.557 0.250
0.739 0.261 0.250
0.761 0.761 0.000
0.239 0.239 0.500
0.261 0.739 0.750



# 14
GGA-PBE U2Zn16Mo, optimized geometry; ρ = 8.74 g/cm3; E = -2.846 eV per atom; formation enthalpy at 0 K = -0.02 eV per atom
1.0
-1.507 6.607 -0.160
0.264 0.878 6.716
6.436 2.125 0.113
U Zn Mo
2 16 1
direct
0.695 0.695 0.695
0.340 0.340 0.340
0.708 0.997 0.289
0.997 0.289 0.708
0.289 0.708 0.997
0.997 0.708 0.289
0.708 0.289 0.997
0.289 0.997 0.708
0.363 0.833 0.363
0.833 0.363 0.363
0.363 0.363 0.833
0.643 0.163 0.643
0.163 0.643 0.643
0.643 0.643 0.163
0.008 0.487 0.008
0.487 0.008 0.008
0.008 0.008 0.487
0.095 0.095 0.095
0.874 0.874 0.874



# 15
GGA-PBE ZrUMo2, optimized geometry; ρ = 11.43 g/cm3; E = -10.288 eV per atom; formation enthalpy at 0 K = 0.09 eV per atom
1.0
-1.677 1.988 -2.134
-2.063 -2.549 -0.752
-4.096 1.856 4.948
Mo U Zr
2 1 1
direct
0.000 0.000 0.770
0.000 0.000 0.230
0.500 0.500 0.000
0.500 0.500 0.500



# 16
GGA-PBE ZrU2Mo, optimized geometry; ρ = 12.79 g/cm3; E = -10.107 eV per atom; formation enthalpy at 0 K = 0.38 eV per atom
1.0
-1.666 -1.346 -3.114
-0.596 -3.299 1.745
-5.328 2.011 1.981
Mo U Zr
1 2 1
direct
0.500 0.500 0.000
0.000 0.000 0.793
0.000 0.000 0.207
0.500 0.500 0.500



# 17
GGA-PBE ZrUMo, optimized geometry; ρ = 11.97 g/cm3; E = -10.009 eV per atom; formation enthalpy at 0 K = 0.21 eV per atom
1.0
-2.415 -1.679 -3.875
1.291 -2.643 0.341
-5.502 -3.697 5.031
Zr U Mo
2 2 2
direct
0.250 0.134 0.733
0.750 0.866 0.267
0.250 0.459 0.082
0.750 0.541 0.918
0.750 0.704 0.593
0.250 0.296 0.407



# 18
GGA-PBE VMo, optimized geometry; ρ = 8.33 g/cm3; E = -10.085 eV per atom; formation enthalpy at 0 K = -0.11 eV per atom
1.0
-2.375 0.381 -1.280
-0.128 -4.219 -1.017
-1.563 -1.079 4.675
Mo V
2 2
direct
0.121 0.250 0.870
0.879 0.750 0.130
0.631 0.250 0.378
0.369 0.750 0.622



# 19
GGA-PBE V3Mo4, optimized geometry; ρ = 8.64 g/cm3; E = -10.233 eV per atom; formation enthalpy at 0 K = -0.14 eV per atom
1.0
-0.998 -4.550 2.660
2.499 -2.010 -6.106
4.598 3.370 3.882
V Mo
6 8
direct
0.144 0.570 0.857
0.286 0.143 0.713
0.574 0.287 0.430
0.856 0.430 0.143
0.714 0.857 0.287
0.426 0.713 0.570
0.500 0.000 0.000
0.000 0.000 0.000
0.928 0.713 0.569
0.360 0.431 0.144
0.216 0.856 0.287
0.072 0.287 0.431
0.640 0.569 0.856
0.784 0.144 0.713



# 20
GGA-PBE VMo, optimized geometry; ρ = 7.72 g/cm3; E = -9.661 eV per atom; formation enthalpy at 0 K = 0.31 eV per atom
1.0
-4.155 0.044 6.252
6.240 -0.429 4.150
0.228 4.479 0.120
V Mo
8 8
direct
0.872 0.806 0.500
0.128 0.194 0.500
0.194 0.872 0.500
0.806 0.128 0.500
0.967 0.314 0.000
0.033 0.686 0.000
0.686 0.967 0.000
0.314 0.033 0.000
0.829 0.465 0.500
0.171 0.535 0.500
0.535 0.829 0.500
0.465 0.171 0.500
0.706 0.630 0.000
0.294 0.370 0.000
0.370 0.706 0.000
0.630 0.294 0.000